Compound: Cs2Sn2Sb2Se
Source: Alexandria
Functional: PBE
Structure: optimized geometry Values from VASP.

Structure (Quantum ESPRESSO input):
```
&SYSTEM
  ibrav = 0, nat = 7, ntyp = 4
/
ATOMIC_SPECIES
Cs 132.91 Cs.upf
Sn 118.71 Sn.upf
Sb 121.76 Sb.upf
Se 78.96 Se.upf
ATOMIC_POSITIONS crystal
Cs 0.5608 0.8778 0.8022
Cs 0.4392 0.1222 0.1978
Sn 0.8024 0.3959 0.6800
Sn 0.1976 0.6041 0.3200
Sb 0.8156 0.3721 0.3742
Sb 0.1844 0.6279 0.6258
Se 0.0000 0.0000 0.0000
CELL_PARAMETERS angstrom
-4.0933 -0.6406 -2.8444
-3.2959 -7.5804 1.9816
-4.9632 -1.7609 7.5588
```

## Properties
As for the uncorrected formation energy: -473 meV/atom. The space group is No. 2. As for the density of states at the Fermi level: 2.27 states/eV per cell. Its volume is 43.0 Å³ per atom.